[1]
A geometry-optimized TiCdPb3 structure. Source: Alexandria, functional PBE.

Output
M_tot: 0.00 μB/f.u.
D(E_F): 0.550 states/eV per atom
Energy above the most stable polymorph in this dataset: 0.00 eV/f.u.
Total energy: -3.7169 eV per atom
Calculated formation energy: 130 kJ/mol of formula units

a = 5.455 Å, b = 5.455 Å, c = 5.455 Å
α = 90.00°, β = 90.00°, γ = 90.00°
Element x y z (fractional)
Pb  0.500  0.000  0.000
Pb  0.000  0.000  0.500
Ti  0.000  0.000  0.000
Pb  0.000  0.500  0.000
Cd  0.500  0.500  0.500

---

[2]
A geometry-optimized TmTiCdPb structure. Source: Alexandria, functional PBE.

Output
M_tot: 1.80 μB/f.u.
D(E_F): 1.184 states/eV per atom
Total energy: -4.3028 eV per atom
Calculated formation energy: -21 kJ/mol of formula units

a = 5.088 Å, b = 5.088 Å, c = 5.088 Å
α = 60.00°, β = 60.00°, γ = 60.00°
Element x y z (fractional)
Cd  0.750  0.750  0.750
Pb  0.250  0.250  0.250
Ti  0.000  0.000  0.000
Tm  0.500  0.500  0.500

---

[3]
A geometry-optimized Tl8CdPb2 structure. Source: Alexandria, functional PBE.

Output
M_tot: 0.00 μB/f.u.
D(E_F): 0.589 states/eV per atom
Energy above the most stable polymorph in this dataset: 1.02 eV/f.u.
Total energy: -2.3664 eV per atom
Calculated formation energy: 119 kJ/mol of formula units

a = 5.758 Å, b = 8.326 Å, c = 8.326 Å
α = 77.05°, β = 78.67°, γ = 78.67°
Element x y z (fractional)
Tl  0.794  0.664  0.183
Cd  0.000  0.000  0.000
Tl  0.902  0.260  0.260
Tl  0.098  0.740  0.740
Pb  0.524  0.869  0.869
Tl  0.206  0.336  0.817
Tl  0.313  0.405  0.405
Tl  0.794  0.183  0.664
Tl  0.206  0.817  0.336
Tl  0.687  0.595  0.595
Pb  0.476  0.131  0.131

---

Which value of M_tot does entry 1 give?
0.00 μB/f.u.